First-principles (PBE) data for crystalline CaAg4W at its relaxed geometry, as listed in Alexandria via LeMat-Bulk.

SG: F-43m (216)
E_form (eV/atom): 0.54

Structure (POSCAR):
```
CaAg4W
1.0
0.000 3.917 3.917
3.917 0.000 3.917
3.917 3.917 0.000
Ca Ag W
1 4 1
Direct
0.000 0.000 0.000
0.375 0.375 0.375
0.375 0.375 0.874
0.375 0.874 0.375
0.874 0.375 0.375
0.750 0.750 0.750
```